18
Lattice="-0.859 -1.565 3.033 -1.368 -5.594 -5.317 9.901 -3.412 1.044" Properties=species:S:1:pos:R:3 comment="Ba2NiPdO5 | Alexandria | GGA+U | relaxed" total_energy_ev_per_atom=-5.52 n_ef_per_ev_fu=2.33 crystal_system=orthorhombic spacegroup="No. 36" pbc="T T T"
Pd -0.608 -2.768 -1.601
Pd 3.646 -6.206 -0.128
Ba 6.199 -8.296 -0.483
Ba 2.567 -2.652 -0.642
Ba 0.058 -6.340 -1.213
Ba 6.410 -3.816 -0.154
O -1.233 -4.410 -2.625
O 7.438 -3.564 2.310
O 3.975 -4.462 0.865
O 0.133 -3.966 0.033
O 7.742 -6.326 0.971
O 0.033 -1.067 -0.541
O 1.155 -7.325 -3.453
O 5.251 -5.816 -1.514
O 2.825 -5.243 -1.906
O 3.299 -8.009 -1.157
Ni 8.795 -4.876 2.017
Ni 2.947 -7.098 -2.828